[1]
Crystalline MgCdAs at its relaxed geometry. Source: the Alexandria database, functional PBE.

Structure (POSCAR):
```
MgCdAs
1.0
0.0000 3.3240 3.3240
3.3240 0.0000 3.3240
3.3240 3.3240 0.0000
Mg Cd As
1 1 1
Direct
0.0000 0.0000 0.0000
0.5000 0.5000 0.5000
0.2500 0.2500 0.2500
```

Calculated values
ΔE to the lowest computed polymorph ... 0 meV/atom

[2]
Crystalline MgCd2As at its relaxed geometry. Source: the Alexandria database, functional PBE.

Structure (POSCAR):
```
MgCd2As
1.0
-2.2093 2.2093 4.4011
2.2093 -2.2093 4.4011
2.2093 2.2093 -4.4011
Mg Cd As
1 2 1
Direct
0.0000 0.0000 0.0000
0.5000 0.5000 0.0000
0.7500 0.2500 0.5000
0.2500 0.7500 0.5000
```

no.,formation enthalpy at 0 K (meV/atom)
1,-146
2,-26